First-principles (GGA-PBE) data for a geometry-optimized Rb2SrSBr6 structure, as listed in Alexandria.

```
Rb2SrSBr6
1.0
-0.004 1.497 -7.621
-6.059 -4.770 -0.934
-7.249 3.522 -3.262
Br Rb Sr S
6 2 1 1
direct
0.274 0.726 0.000
0.726 0.726 0.000
0.726 0.274 0.000
0.780 0.780 0.440
0.220 0.220 0.560
0.274 0.274 0.000
0.750 0.250 0.500
0.250 0.750 0.500
0.000 0.000 0.000
0.500 0.500 0.000
```

## Properties
E_form (uncorrected)   -1.186 eV per atom
Total magnetic moment   0.000 μB per atom
Space-group type   No. 139
Uncorrected energy   -2.964 eV per atom